(1)
5
Lattice="6.821 0.000 0.000 0.000 6.821 0.000 0.000 0.000 6.821" Properties=species:S:1:pos:R:3 comment="GGA-PBEsol Cs3InSb, optimized geometry" sg="Pm-3m (221)" pbc="T T T"
Cs 0.000 0.000 3.410
Cs 0.000 3.410 0.000
Cs 3.410 0.000 0.000
In 0.000 0.000 0.000
Sb 3.410 3.410 3.410

(2)
2
Lattice="2.624 0.000 0.000 -1.312 2.272 0.000 0.000 0.000 4.146" Properties=species:S:1:pos:R:3 comment="GGA-PBEsol CrRh, optimized geometry" sg="P-6m2 (187)" e_form_ev_per_atom=-0.02 pbc="T T T"
Cr 0.000 0.000 0.000
Rh 0.000 1.515 2.073

(3)
4
Lattice="2.633 0.000 0.000 0.000 3.271 0.000 -1.127 0.000 5.532" Properties=species:S:1:pos:R:3 comment="GGA-PBEsol Be2CuAs, optimized geometry" sg="P2/m (10)" e_form_ev_per_atom=0.22 pbc="T T T"
Be -0.079 0.000 1.087
Be 1.584 0.000 4.445
Cu 1.316 1.635 0.000
As -0.563 1.635 2.766

(4)
7
Lattice="5.055 0.000 0.000 -2.528 4.378 0.000 0.000 0.000 4.291" Properties=species:S:1:pos:R:3 comment="GGA-PBEsol BaZnBO3F, optimized geometry" sg="P-6 (174)" pbc="T T T"
Ba 0.000 0.000 0.000
Zn 2.528 1.459 2.146
B 0.000 2.919 2.146
O -0.591 1.669 2.146
O -0.787 4.055 2.146
O 1.378 3.032 2.146
F 2.528 1.459 0.000

(5)
20
Lattice="2.935 -5.359 0.000 2.935 5.359 0.000 -1.171 0.000 7.527" Properties=species:S:1:pos:R:3 comment="GGA-PBEsol LiCoC2O6, optimized geometry" sg="Cc (9)" pbc="T T T"
Li 2.350 4.331 3.764
Li 2.935 -4.331 0.000
Co 2.129 1.504 5.216
Co 2.714 -1.504 1.453
C 0.482 1.669 3.020
C -0.104 -1.669 6.784
C 1.623 0.812 7.419
C 2.208 -0.812 3.655
O 2.016 4.433 7.343
O 0.670 1.297 6.711
O 1.625 2.055 3.523
O 2.594 3.230 5.540
O 1.255 -1.297 2.947
O 2.623 0.285 1.051
O 2.037 -0.285 4.814
O 1.039 -2.055 7.286
O 2.804 0.923 6.896
O 3.390 -0.923 3.133
O 3.179 -3.230 1.777
O 2.601 -4.433 3.579

(6)
5
Lattice="4.578 0.000 0.000 0.000 4.578 0.000 0.000 0.000 4.804" Properties=species:S:1:pos:R:3 comment="GGA-PBEsol CrPSCl2, optimized geometry" sg="P4/mmm (123)" pbc="T T T"
Cr 0.000 0.000 0.000
P 2.289 2.289 0.000
S 2.289 2.289 2.402
Cl 0.000 2.289 2.402
Cl 2.289 0.000 2.402

(7)
4
Lattice="2.891 0.000 0.000 0.000 2.891 0.000 0.000 0.000 10.343" Properties=species:S:1:pos:R:3 comment="GGA-PBEsol K2AsRh, optimized geometry" sg="P4/mmm (123)" e_form_ev_per_atom=0.43 pbc="T T T"
K 0.000 0.000 2.572
K 0.000 0.000 7.771
As 1.445 1.445 5.171
Rh 1.445 1.445 0.000

(8)
4
Lattice="2.578 0.000 0.000 0.000 4.256 0.000 0.000 0.000 4.291" Properties=species:S:1:pos:R:3 comment="GGA-PBEsol Co2CuTc, optimized geometry" sg="Pmmm (47)" e_form_ev_per_atom=0.35 pbc="T T T"
Co 0.000 0.000 0.000
Co 1.289 0.000 2.145
Cu 0.000 2.128 2.145
Tc 1.289 2.128 0.000

(9)
5
Lattice="4.709 0.000 0.000 0.000 4.709 0.000 0.000 0.000 4.330" Properties=species:S:1:pos:R:3 comment="GGA-PBEsol NaLaNF2, optimized geometry" sg="P4/mmm (123)" pbc="T T T"
Na 0.000 0.000 0.000
La 2.355 2.355 2.165
N 2.355 2.355 0.000
F 0.000 2.355 2.165
F 2.355 0.000 2.165

(10)
3
Lattice="0.000 3.523 3.523 3.523 0.000 3.523 3.523 3.523 0.000" Properties=species:S:1:pos:R:3 comment="GGA-PBEsol BaMgIr, optimized geometry" sg="F-43m (216)" e_form_ev_per_atom=1.02 pbc="T T T"
Ba 0.000 0.000 0.000
Mg 1.762 1.762 1.762
Ir 5.285 5.285 5.285

(11)
4
Lattice="0.000 3.545 3.545 3.545 0.000 3.545 3.545 3.545 0.000" Properties=species:S:1:pos:R:3 comment="GGA-PBEsol ZrTl2P, optimized geometry" sg="Fm-3m (225)" e_form_ev_per_atom=0.46 pbc="T T T"
Zr 0.000 0.000 0.000
Tl 1.772 1.772 1.772
Tl 5.317 5.317 5.317
P 3.545 3.545 3.545

(12)
5
Lattice="4.571 0.000 0.000 0.000 4.571 0.000 0.000 0.000 4.468" Properties=species:S:1:pos:R:3 comment="GGA-PBEsol CuS2BrCl, optimized geometry" sg="P4/mmm (123)" pbc="T T T"
Cu 0.000 0.000 0.000
S 0.000 2.286 0.000
S 2.286 0.000 0.000
Br 2.286 2.286 2.234
Cl 0.000 0.000 2.234

(13)
4
Lattice="3.107 0.000 0.000 0.000 3.107 0.000 0.000 0.000 8.396" Properties=species:S:1:pos:R:3 comment="GGA-PBEsol AlTl2Ir, optimized geometry" sg="P4/mmm (123)" e_form_ev_per_atom=0.45 pbc="T T T"
Al 0.000 0.000 0.000
Tl 1.553 1.553 2.350
Tl 1.553 1.553 6.046
Ir 0.000 0.000 4.198

(14)
4
Lattice="5.571 -1.833 0.000 5.571 1.833 0.000 -1.177 0.000 3.469" Properties=species:S:1:pos:R:3 comment="GGA-PBEsol CuSi2Te, optimized geometry" sg="C2/m (12)" pbc="T T T"
Cu 0.000 0.000 0.000
Si 2.298 0.000 0.795
Si 7.667 0.000 2.674
Te 4.983 0.000 1.735

(15)
4
Lattice="0.000 3.564 3.564 3.564 0.000 3.564 3.564 3.564 0.000" Properties=species:S:1:pos:R:3 comment="GGA-PBEsol Sn2CI, optimized geometry" sg="Fm-3m (225)" pbc="T T T"
Sn 1.782 1.782 1.782
Sn 5.347 5.347 5.347
C 0.000 0.000 0.000
I 3.564 3.564 3.564

(16)
3
Lattice="-1.664 2.320 4.978 1.664 -2.320 4.978 1.664 2.320 -4.978" Properties=species:S:1:pos:R:3 comment="GGA-PBEsol YSc2, optimized geometry" sg="Immm (71)" e_form_ev_per_atom=0.06 pbc="T T T"
Y 0.000 0.000 0.000
Sc 0.000 0.000 3.281
Sc 0.000 0.000 6.674

(17)
4
Lattice="4.742 0.000 0.000 0.000 2.250 5.884 0.000 -2.250 5.884" Properties=species:S:1:pos:R:3 comment="GGA-PBEsol KBaAu2, optimized geometry" sg="Amm2 (38)" e_form_ev_per_atom=-0.43 pbc="T T T"
K 0.000 0.000 0.000
Ba 2.371 0.000 3.329
Au 0.000 0.000 8.365
Au 2.371 0.000 6.779

(18)
5
Lattice="-1.656 1.656 7.751 1.656 -1.656 7.751 1.656 1.656 -7.751" Properties=species:S:1:pos:R:3 comment="GGA-PBEsol Mg2GaCu2, optimized geometry" sg="I4/mmm (139)" e_form_ev_per_atom=0.04 pbc="T T T"
Mg 0.000 0.000 1.723
Mg 0.000 0.000 13.779
Ga 0.000 0.000 7.751
Cu 1.656 0.000 3.875
Cu 0.000 1.656 3.875

(19)
5
Lattice="3.932 0.000 0.000 0.000 3.932 0.000 0.000 0.000 4.280" Properties=species:S:1:pos:R:3 comment="GGA-PBEsol TiPRh2O, optimized geometry" sg="P4/mmm (123)" pbc="T T T"
Ti 0.000 0.000 0.000
P 1.966 1.966 0.000
Rh 0.000 1.966 2.140
Rh 1.966 0.000 2.140
O 1.966 1.966 2.140

(20)
4
Lattice="1.451 0.838 9.838 -1.451 0.838 9.838 0.000 -1.676 9.838" Properties=species:S:1:pos:R:3 comment="GGA-PBEsol ScTa2Mo, optimized geometry" sg="R3m (160)" e_form_ev_per_atom=0.36 pbc="T T T"
Sc 0.000 0.000 0.000
Ta 0.000 0.000 7.295
Ta 0.000 0.000 14.643
Mo 0.000 0.000 22.103

(21)
5
Lattice="4.496 0.000 0.000 0.000 4.496 0.000 0.000 0.000 4.531" Properties=species:S:1:pos:R:3 comment="GGA-PBEsol MgNi2RuW, optimized geometry" sg="P4/mmm (123)" e_form_ev_per_atom=1.36 pbc="T T T"
Mg 0.000 0.000 0.000
Ni 0.000 2.248 2.265
Ni 2.248 0.000 2.265
Ru 2.248 2.248 2.265
W 2.248 2.248 0.000

(22)
5
Lattice="4.558 0.000 0.000 0.000 4.558 0.000 0.000 0.000 4.558" Properties=species:S:1:pos:R:3 comment="GGA-PBEsol NbRe3Tc, optimized geometry" sg="Pm-3m (221)" e_form_ev_per_atom=1.97 pbc="T T T"
Nb 0.000 0.000 0.000
Re 0.000 2.279 2.279
Re 2.279 0.000 2.279
Re 2.279 2.279 0.000
Tc 2.279 2.279 2.279

(23)
20
Lattice="-5.083 5.869 3.002 5.083 -5.869 3.002 5.083 5.869 -3.002" Properties=species:S:1:pos:R:3 comment="GGA-PBEsol Ce2Ge5Ir3, optimized geometry" sg="Ibam (72)" e_form_ev_per_atom=-0.76 pbc="T T T"
Ce 2.322 1.568 0.000
Ce 2.322 -1.568 3.002
Ce 2.762 7.438 0.000
Ce 2.762 4.301 3.002
Ge 5.083 -2.633 1.501
Ge 6.703 1.185 0.000
Ge 0.000 0.000 1.501
Ge 1.620 4.685 0.000
Ge 5.083 2.633 1.501
Ge 0.000 3.237 1.501
Ge 3.464 1.185 3.002
Ge 0.000 0.000 4.502
Ge -1.620 4.685 3.002
Ge 0.000 8.502 1.501
Ir 3.950 -4.212 3.002
Ir 5.083 0.000 1.501
Ir 3.950 4.212 0.000
Ir 1.133 1.657 3.002
Ir 0.000 5.869 1.501
Ir 1.133 10.081 0.000

(24)
10
Lattice="5.974 0.000 0.000 0.000 5.974 0.000 0.000 0.000 4.813" Properties=species:S:1:pos:R:3 comment="GGA-PBEsol Na2P2Os, optimized geometry" sg="P4/mbm (127)" e_form_ev_per_atom=-0.35 pbc="T T T"
Na 1.101 1.887 0.000
Na 1.887 4.874 0.000
Na 4.088 1.101 0.000
Na 4.874 4.088 0.000
P 0.806 3.793 2.407
P 2.181 0.806 2.407
P 3.793 5.169 2.407
P 5.169 2.181 2.407
Os 0.000 0.000 2.407
Os 2.987 2.987 2.407

(25)
4
Lattice="0.000 4.080 4.080 4.080 0.000 4.080 4.080 4.080 0.000" Properties=species:S:1:pos:R:3 comment="GGA-PBEsol Cs2InPt, optimized geometry" sg="Fm-3m (225)" e_form_ev_per_atom=0.40 pbc="T T T"
Cs 2.040 2.040 2.040
Cs 6.120 6.120 6.120
In 0.000 0.000 0.000
Pt 4.080 4.080 4.080

(26)
4
Lattice="3.090 0.000 0.000 0.000 4.267 0.000 -1.546 0.000 6.991" Properties=species:S:1:pos:R:3 comment="GGA-PBEsol KAg2Se, optimized geometry" sg="Pm (6)" pbc="T T T"
K 0.000 0.000 0.000
Ag 0.011 2.133 4.437
Ag 1.556 0.000 3.489
Se 1.546 2.133 1.840

(27)
10
Lattice="8.645 0.000 0.000 0.000 8.645 0.000 0.000 0.000 3.726" Properties=species:S:1:pos:R:3 comment="GGA-PBEsol NaTl2In2, optimized geometry" sg="P4/mbm (127)" e_form_ev_per_atom=-0.02 pbc="T T T"
Na 0.000 0.000 0.000
Na 4.322 4.322 0.000
Tl 1.286 3.036 0.000
Tl 3.036 7.358 0.000
Tl 5.609 1.286 0.000
Tl 7.358 5.609 0.000
In 1.276 5.598 1.863
In 3.047 1.276 1.863
In 5.598 7.369 1.863
In 7.369 3.047 1.863

(28)
5
Lattice="5.401 0.000 0.000 0.000 5.401 0.000 0.000 0.000 5.496" Properties=species:S:1:pos:R:3 comment="GGA-PBEsol ReGeSbI2, optimized geometry" sg="P4/mmm (123)" pbc="T T T"
Re 0.000 0.000 0.000
Ge 2.700 2.700 2.748
Sb 2.700 2.700 0.000
I 0.000 2.700 2.748
I 2.700 0.000 2.748

Computed values of final energy (unit: eV/atom) for the preceding records, in sequence: -1.7233, -9.2145, -4.1364, -6.6385, -7.3501, -4.1822, -3.4484, -7.4166, -5.8867, -3.5396, -4.5737, -2.9532, -4.3465, -4.6119, -3.5088, -6.6168, -3.2164, -3.0518, -7.2191, -10.5045, -6.2409, -10.4512, -7.4928, -5.6690, -2.5590, -3.0317, -2.5433, -3.7143.